1.
5
Lattice="-1.2164 -4.8637 -0.8645 5.0320 -1.2211 -0.2106 -0.0062 -0.9055 5.1026" Properties=species:S:1:pos:R:3 comment="SrCd2InTc, PBEsol geometry, DFT SCAN" volume_a3_per_atom=27.326 sg=P4/mmm pbc="T T T"
Cd 2.5160 -0.6106 -0.1053
In -0.6082 -2.4318 -0.4323
Sr 1.9047 -3.4951 2.0137
Cd -0.0031 -0.4527 2.5513
Tc 0.0000 0.0000 0.0000

---

2.
5
Lattice="5.6145 0.0000 0.0000 0.0000 6.0378 0.0000 0.0000 0.0000 6.0378" Properties=species:S:1:pos:R:3 comment="Sr2YCdIn, PBEsol geometry, DFT SCAN" volume_a3_per_atom=40.936 sg=P4/mmm pbc="T T T"
In 2.8072 3.0189 3.0189
Cd 0.0000 0.0000 0.0000
Sr 0.0000 0.0000 3.0189
Sr 0.0000 3.0189 0.0000
Y 2.8072 0.0000 0.0000

---

| no. | energy of formation from the pure elements (eV/atom) |
| --- | --- |
| 1 | 0.085 |
| 2 | 0.122 |